The following is a PBE-GGA calculation of crystalline Cs2Na2Li at its relaxed geometry, from the Alexandria database.

For the volume, the calculation gives 319 Å³/f.u. For the density of states at the Fermi level, the calculation gives 9.80 states/eV/cell. The formation energy from the elements is 1.09 eV/f.u.

The structure belongs to space group P4/mbm (No. 127); the cell edges are 12.098, 12.098 and 4.353 Å and the angles 90.00°, 90.00° and 90.00°. Symmetry generates all atoms from Cs at (0.190, 0.310, 0.000), Na at (0.103, 0.603, 0.500) and Li at (0.000, 0.000, 0.000).